Model one:
{"formula": "NbAlCoHg", "functional": "PBE", "state": "relaxed", "total_magnetization_mub_per_atom": 0.01, "volume_a3_per_atom": 16.16, "cell": [[0.0000, 3.1854, 3.1854], [3.1854, 0.0000, 3.1854], [3.1854, 3.1854, 0.0000]], "species": ["Nb", "Al", "Co", "Hg"], "fractional_positions": [[0.0000, 0.0000, 0.0000], [0.2500, 0.2500, 0.2500], [0.5000, 0.5000, 0.5000], [0.7500, 0.7500, 0.7500]]}

Model two:
{"formula": "NbAlCoHg", "functional": "PBE", "state": "relaxed", "total_magnetization_mub_per_atom": 0.01, "volume_a3_per_atom": 16.13, "cell": [[0.0000, 3.1835, 3.1835], [3.1835, 0.0000, 3.1835], [3.1835, 3.1835, 0.0000]], "species": ["Nb", "Al", "Co", "Hg"], "fractional_positions": [[0.0000, 0.0000, 0.0000], [0.5000, 0.5000, 0.5000], [0.7500, 0.7500, 0.7500], [0.2500, 0.2500, 0.2500]]}

Short version: model two is the most stable of them.

Model one:
{"formula": "AlCoReHg", "functional": "PBE", "state": "relaxed", "total_magnetization_mub_per_atom": 0.42, "volume_a3_per_atom": 15.07, "cell": [[0.0000, 3.1121, 3.1121], [3.1121, 0.0000, 3.1121], [3.1121, 3.1121, 0.0000]], "species": ["Al", "Co", "Re", "Hg"], "fractional_positions": [[0.0000, 0.0000, 0.0000], [0.2500, 0.2500, 0.2500], [0.7500, 0.7500, 0.7500], [0.5000, 0.5000, 0.5000]]}

Model two:
{"formula": "AlCoReHg", "functional": "PBE", "state": "relaxed", "total_magnetization_mub_per_atom": 0.57, "volume_a3_per_atom": 15.23, "cell": [[0.0000, 3.1233, 3.1233], [3.1233, 0.0000, 3.1233], [3.1233, 3.1233, 0.0000]], "species": ["Al", "Co", "Re", "Hg"], "fractional_positions": [[0.0000, 0.0000, 0.0000], [0.2500, 0.2500, 0.2500], [0.5000, 0.5000, 0.5000], [0.7500, 0.7500, 0.7500]]}

Short version: model one is the most stable of them.

Model one:
{"formula": "TaAlCoHg", "functional": "PBE", "state": "relaxed", "total_magnetization_mub_per_atom": 0.01, "volume_a3_per_atom": 16.05, "cell": [[0.0000, 3.1780, 3.1780], [3.1780, 0.0000, 3.1780], [3.1780, 3.1780, 0.0000]], "species": ["Ta", "Al", "Co", "Hg"], "fractional_positions": [[0.0000, 0.0000, 0.0000], [0.5000, 0.5000, 0.5000], [0.7500, 0.7500, 0.7500], [0.2500, 0.2500, 0.2500]]}

Model two:
{"formula": "TaAlCoHg", "functional": "PBE", "state": "relaxed", "total_magnetization_mub_per_atom": 0.28, "volume_a3_per_atom": 16.05, "cell": [[0.0000, 3.1783, 3.1783], [3.1783, 0.0000, 3.1783], [3.1783, 3.1783, 0.0000]], "species": ["Ta", "Al", "Co", "Hg"], "fractional_positions": [[0.0000, 0.0000, 0.0000], [0.2500, 0.2500, 0.2500], [0.5000, 0.5000, 0.5000], [0.7500, 0.7500, 0.7500]]}

Short version: model one is the most stable of them.

Model one:
{"formula": "AlCoTcHg", "functional": "PBE", "state": "relaxed", "total_magnetization_mub_per_atom": 0.48, "volume_a3_per_atom": 15.10, "cell": [[0.0000, 3.1140, 3.1140], [3.1140, 0.0000, 3.1140], [3.1140, 3.1140, 0.0000]], "species": ["Al", "Co", "Tc", "Hg"], "fractional_positions": [[0.0000, 0.0000, 0.0000], [0.2500, 0.2500, 0.2500], [0.7500, 0.7500, 0.7500], [0.5000, 0.5000, 0.5000]]}

Model two:
{"formula": "AlCoTcHg", "functional": "PBE", "state": "relaxed", "total_magnetization_mub_per_atom": 0.70, "volume_a3_per_atom": 15.43, "cell": [[0.0000, 3.1364, 3.1364], [3.1364, 0.0000, 3.1364], [3.1364, 3.1364, 0.0000]], "species": ["Al", "Co", "Tc", "Hg"], "fractional_positions": [[0.0000, 0.0000, 0.0000], [0.2500, 0.2500, 0.2500], [0.5000, 0.5000, 0.5000], [0.7500, 0.7500, 0.7500]]}

Short version: model one is the most stable of them.

Model one:
{"formula": "HoTmAlCo2", "functional": "PBE", "state": "relaxed", "total_magnetization_mub_per_atom": 0.00, "volume_a3_per_atom": 17.82, "cell": [[-2.0037, 2.7077, 4.1062], [2.0037, -2.7077, 4.1062], [2.0037, 2.7077, -4.1062]], "species": ["Ho", "Tm", "Al", "Co", "Co"], "fractional_positions": [[0.0000, 0.0000, 0.0000], [0.5913, 0.5913, 0.0000], [0.2958, 0.7958, 0.5000], [0.0190, 0.2953, 0.7238], [0.5715, 0.2953, 0.2762]]}

Model two:
{"formula": "HoTmAlCo2", "functional": "PBE", "state": "relaxed", "total_magnetization_mub_per_atom": 0.05, "volume_a3_per_atom": 18.64, "cell": [[3.8303, 0.0000, 0.0000], [0.0000, 1.8711, 6.5028], [0.0000, -1.8711, 6.5028]], "species": ["Ho", "Tm", "Al", "Co", "Co"], "fractional_positions": [[0.0000, 0.0000, 0.0000], [0.0000, 0.7304, 0.7304], [0.5000, 0.3645, 0.3645], [0.5000, 0.1671, 0.1671], [0.5000, 0.5652, 0.5652]]}

Short version: model one is the most stable of them.

Model one:
{"formula": "AlCoIr", "functional": "PBE", "state": "relaxed", "total_magnetization_mub_per_atom": 0.57, "volume_a3_per_atom": 14.74, "cell": [[0.0000, 2.8069, 2.8069], [2.8069, 0.0000, 2.8069], [2.8069, 2.8069, 0.0000]], "species": ["Al", "Co", "Ir"], "fractional_positions": [[0.0000, 0.0000, 0.0000], [0.2500, 0.2500, 0.2500], [0.5000, 0.5000, 0.5000]]}

Model two:
{"formula": "AlCoIr", "functional": "PBE", "state": "relaxed", "total_magnetization_mub_per_atom": 0.06, "volume_a3_per_atom": 15.64, "cell": [[3.2093, 0.0000, 0.0000], [0.0000, 3.2093, 0.0000], [0.0000, 0.0000, 4.5567]], "species": ["Al", "Co", "Ir"], "fractional_positions": [[0.0000, 0.0000, 0.0000], [0.5000, 0.5000, 0.0000], [0.5000, 0.5000, 0.5000]]}

Short version: model one is the most stable of them.

Model one:
{"formula": "LuAlCoIr", "functional": "PBE", "state": "relaxed", "total_magnetization_mub_per_atom": 0.00, "volume_a3_per_atom": 15.29, "cell": [[0.0000, 3.1268, 3.1268], [3.1268, 0.0000, 3.1268], [3.1268, 3.1268, 0.0000]], "species": ["Lu", "Al", "Co", "Ir"], "fractional_positions": [[0.0000, 0.0000, 0.0000], [0.5000, 0.5000, 0.5000], [0.7500, 0.7500, 0.7500], [0.2500, 0.2500, 0.2500]]}

Model two:
{"formula": "LuAlCoIr", "functional": "PBE", "state": "relaxed", "total_magnetization_mub_per_atom": 0.47, "volume_a3_per_atom": 16.35, "cell": [[0.0000, 3.1981, 3.1981], [3.1981, 0.0000, 3.1981], [3.1981, 3.1981, 0.0000]], "species": ["Lu", "Al", "Co", "Ir"], "fractional_positions": [[0.0000, 0.0000, 0.0000], [0.2500, 0.2500, 0.2500], [0.5000, 0.5000, 0.5000], [0.7500, 0.7500, 0.7500]]}

Short version: model one is the most stable of them.

Model one:
{"formula": "LiAlCoMo", "functional": "PBE", "state": "relaxed", "total_magnetization_mub_per_atom": 0.55, "volume_a3_per_atom": 13.08, "cell": [[0.0000, 2.9686, 2.9686], [2.9686, 0.0000, 2.9686], [2.9686, 2.9686, 0.0000]], "species": ["Li", "Al", "Co", "Mo"], "fractional_positions": [[0.0000, 0.0000, 0.0000], [0.5000, 0.5000, 0.5000], [0.7500, 0.7500, 0.7500], [0.2500, 0.2500, 0.2500]]}

Model two:
{"formula": "LiAlCoMo", "functional": "PBE", "state": "relaxed", "total_magnetization_mub_per_atom": 0.23, "volume_a3_per_atom": 12.60, "cell": [[0.0000, 2.9317, 2.9317], [2.9317, 0.0000, 2.9317], [2.9317, 2.9317, 0.0000]], "species": ["Li", "Al", "Co", "Mo"], "fractional_positions": [[0.0000, 0.0000, 0.0000], [0.2500, 0.2500, 0.2500], [0.5000, 0.5000, 0.5000], [0.7500, 0.7500, 0.7500]]}

Short version: model two is the most stable of them.

Model one:
{"formula": "LiNbAlCo", "functional": "PBE", "state": "relaxed", "total_magnetization_mub_per_atom": 0.00, "volume_a3_per_atom": 13.13, "cell": [[0.0000, 2.9722, 2.9722], [2.9722, 0.0000, 2.9722], [2.9722, 2.9722, 0.0000]], "species": ["Li", "Nb", "Al", "Co"], "fractional_positions": [[0.0000, 0.0000, 0.0000], [0.2500, 0.2500, 0.2500], [0.7500, 0.7500, 0.7500], [0.5000, 0.5000, 0.5000]]}

Model two:
{"formula": "LiNbAlCo", "functional": "PBE", "state": "relaxed", "total_magnetization_mub_per_atom": 0.08, "volume_a3_per_atom": 13.71, "cell": [[0.0000, 3.0157, 3.0157], [3.0157, 0.0000, 3.0157], [3.0157, 3.0157, 0.0000]], "species": ["Li", "Nb", "Al", "Co"], "fractional_positions": [[0.0000, 0.0000, 0.0000], [0.2500, 0.2500, 0.2500], [0.5000, 0.5000, 0.5000], [0.7500, 0.7500, 0.7500]]}

Model three:
{"formula": "LiNbAlCo", "functional": "PBE", "state": "relaxed", "total_magnetization_mub_per_atom": 0.00, "volume_a3_per_atom": 13.73, "cell": [[0.0000, 3.0173, 3.0173], [3.0173, 0.0000, 3.0173], [3.0173, 3.0173, 0.0000]], "species": ["Li", "Nb", "Al", "Co"], "fractional_positions": [[0.0000, 0.0000, 0.0000], [0.5000, 0.5000, 0.5000], [0.2500, 0.2500, 0.2500], [0.7500, 0.7500, 0.7500]]}

Short version: model one is the most stable of them.

Model one:
{"formula": "LiAlCoRe", "functional": "PBE", "state": "relaxed", "total_magnetization_mub_per_atom": 0.60, "volume_a3_per_atom": 12.77, "cell": [[0.0000, 2.9447, 2.9447], [2.9447, 0.0000, 2.9447], [2.9447, 2.9447, 0.0000]], "species": ["Li", "Al", "Co", "Re"], "fractional_positions": [[0.0000, 0.0000, 0.0000], [0.5000, 0.5000, 0.5000], [0.7500, 0.7500, 0.7500], [0.2500, 0.2500, 0.2500]]}

Model two:
{"formula": "LiAlCoRe", "functional": "PBE", "state": "relaxed", "total_magnetization_mub_per_atom": 0.49, "volume_a3_per_atom": 12.33, "cell": [[0.0000, 2.9107, 2.9107], [2.9107, 0.0000, 2.9107], [2.9107, 2.9107, 0.0000]], "species": ["Li", "Al", "Co", "Re"], "fractional_positions": [[0.0000, 0.0000, 0.0000], [0.2500, 0.2500, 0.2500], [0.5000, 0.5000, 0.5000], [0.7500, 0.7500, 0.7500]]}

Short version: model two is the most stable of them.

Model one:
{"formula": "LiTaAlCo", "functional": "PBE", "state": "relaxed", "total_magnetization_mub_per_atom": 0.00, "volume_a3_per_atom": 13.80, "cell": [[0.0000, 3.0218, 3.0218], [3.0218, 0.0000, 3.0218], [3.0218, 3.0218, 0.0000]], "species": ["Li", "Ta", "Al", "Co"], "fractional_positions": [[0.0000, 0.0000, 0.0000], [0.5000, 0.5000, 0.5000], [0.2500, 0.2500, 0.2500], [0.7500, 0.7500, 0.7500]]}

Model two:
{"formula": "LiTaAlCo", "functional": "PBE", "state": "relaxed", "total_magnetization_mub_per_atom": 0.00, "volume_a3_per_atom": 13.00, "cell": [[0.0000, 2.9627, 2.9627], [2.9627, 0.0000, 2.9627], [2.9627, 2.9627, 0.0000]], "species": ["Li", "Ta", "Al", "Co"], "fractional_positions": [[0.0000, 0.0000, 0.0000], [0.7500, 0.7500, 0.7500], [0.2500, 0.2500, 0.2500], [0.5000, 0.5000, 0.5000]]}

Short version: model two is the most stable of them.

Model one:
{"formula": "LiYAlCo", "functional": "PBE", "state": "relaxed", "total_magnetization_mub_per_atom": 0.00, "volume_a3_per_atom": 16.30, "cell": [[0.0000, 3.1943, 3.1943], [3.1943, 0.0000, 3.1943], [3.1943, 3.1943, 0.0000]], "species": ["Li", "Y", "Al", "Co"], "fractional_positions": [[0.0000, 0.0000, 0.0000], [0.7500, 0.7500, 0.7500], [0.2500, 0.2500, 0.2500], [0.5000, 0.5000, 0.5000]]}

Model two:
{"formula": "LiYAlCo", "functional": "PBE", "state": "relaxed", "total_magnetization_mub_per_atom": 0.01, "volume_a3_per_atom": 17.03, "cell": [[0.0000, 3.2418, 3.2418], [3.2418, 0.0000, 3.2418], [3.2418, 3.2418, 0.0000]], "species": ["Li", "Y", "Al", "Co"], "fractional_positions": [[0.0000, 0.0000, 0.0000], [0.2500, 0.2500, 0.2500], [0.5000, 0.5000, 0.5000], [0.7500, 0.7500, 0.7500]]}

Short version: model one is the most stable of them.

Model one:
{"formula": "LuMgAlCo", "functional": "PBE", "state": "relaxed", "total_magnetization_mub_per_atom": 0.00, "volume_a3_per_atom": 17.19, "cell": [[0.0000, 3.2517, 3.2517], [3.2517, 0.0000, 3.2517], [3.2517, 3.2517, 0.0000]], "species": ["Lu", "Mg", "Al", "Co"], "fractional_positions": [[0.0000, 0.0000, 0.0000], [0.7500, 0.7500, 0.7500], [0.2500, 0.2500, 0.2500], [0.5000, 0.5000, 0.5000]]}

Model two:
{"formula": "LuMgAlCo", "functional": "PBE", "state": "relaxed", "total_magnetization_mub_per_atom": 0.02, "volume_a3_per_atom": 17.15, "cell": [[0.0000, 3.2492, 3.2492], [3.2492, 0.0000, 3.2492], [3.2492, 3.2492, 0.0000]], "species": ["Lu", "Mg", "Al", "Co"], "fractional_positions": [[0.0000, 0.0000, 0.0000], [0.2500, 0.2500, 0.2500], [0.5000, 0.5000, 0.5000], [0.7500, 0.7500, 0.7500]]}

Short version: model two is the most stable of them.

Model one:
{"formula": "LuAlCoMo", "functional": "PBE", "state": "relaxed", "total_magnetization_mub_per_atom": 0.42, "volume_a3_per_atom": 16.14, "cell": [[0.0000, 3.1841, 3.1841], [3.1841, 0.0000, 3.1841], [3.1841, 3.1841, 0.0000]], "species": ["Lu", "Al", "Co", "Mo"], "fractional_positions": [[0.0000, 0.0000, 0.0000], [0.5000, 0.5000, 0.5000], [0.7500, 0.7500, 0.7500], [0.2500, 0.2500, 0.2500]]}

Model two:
{"formula": "LuAlCoMo", "functional": "PBE", "state": "relaxed", "total_magnetization_mub_per_atom": 0.75, "volume_a3_per_atom": 16.72, "cell": [[0.0000, 3.2217, 3.2217], [3.2217, 0.0000, 3.2217], [3.2217, 3.2217, 0.0000]], "species": ["Lu", "Al", "Co", "Mo"], "fractional_positions": [[0.0000, 0.0000, 0.0000], [0.2500, 0.2500, 0.2500], [0.5000, 0.5000, 0.5000], [0.7500, 0.7500, 0.7500]]}

Short version: model one is the most stable of them.

Model one:
{"formula": "LuAlCoTc", "functional": "PBE", "state": "relaxed", "total_magnetization_mub_per_atom": 0.00, "volume_a3_per_atom": 15.45, "cell": [[0.0000, 3.1381, 3.1381], [3.1381, 0.0000, 3.1381], [3.1381, 3.1381, 0.0000]], "species": ["Lu", "Al", "Co", "Tc"], "fractional_positions": [[0.0000, 0.0000, 0.0000], [0.5000, 0.5000, 0.5000], [0.7500, 0.7500, 0.7500], [0.2500, 0.2500, 0.2500]]}

Model two:
{"formula": "LuAlCoTc", "functional": "PBE", "state": "relaxed", "total_magnetization_mub_per_atom": 0.68, "volume_a3_per_atom": 16.34, "cell": [[0.0000, 3.1973, 3.1973], [3.1973, 0.0000, 3.1973], [3.1973, 3.1973, 0.0000]], "species": ["Lu", "Al", "Co", "Tc"], "fractional_positions": [[0.0000, 0.0000, 0.0000], [0.2500, 0.2500, 0.2500], [0.5000, 0.5000, 0.5000], [0.7500, 0.7500, 0.7500]]}

Short version: model one is the most stable of them.